[1]
CsPuSeS: optimized geometry, GGA-PBE.

As for the symmetry: R3m (160).

Cell: 4.2323 4.2323 8.6284 Å, 75.80 75.80 60.00°
Closest atoms and distances in Å follow each position.
Atoms (fractional coordinates):
Pu: 0.2799 0.2799 0.1603  3 S 2.81, 3 Se 2.93
Cs: 0.4436 0.4436 0.6693  3 Se 3.57, 3 S 3.62
Se: 0.8816 0.8816 0.3553  3 Pu 2.93
S: 0.6691 0.6691 0.9927  3 Pu 2.81



[2]
Cs4Sm3PuS8: optimized geometry, GGA-PBE.

As for the symmetry: R-3m (166).

Cell: 8.3985 9.4131 8.3983 Å, 116.50 120.00 90.00°
Closest atoms and distances in Å follow each position.
Atoms (fractional coordinates):
S: 0.2708 0.3170 0.0438  1 Pu 2.83, 2 Sm 2.84
S: 0.2269 0.6830 0.9562  1 Pu 2.83, 2 Sm 2.84
S: 0.2269 0.6830 0.4539  1 Pu 2.83, 2 Sm 2.84
S: 0.7292 0.6830 0.9562  1 Pu 2.83, 2 Sm 2.84
S: 0.7731 0.3170 0.0438  1 Pu 2.83, 2 Sm 2.84
S: 0.2715 0.3146 0.5430  3 Sm 2.85
S: 0.7731 0.3170 0.5461  1 Pu 2.83, 2 Sm 2.84
S: 0.7285 0.6854 0.4570  3 Sm 2.85
Cs: 0.5000 0.0000 0.0000  6 S 3.53
Cs: 0.0000 0.0000 0.0000  6 S 3.51-3.52
Cs: 0.5000 0.0000 0.5000  6 S 3.51-3.52
Cs: 0.0000 0.0000 0.5000  6 S 3.51-3.52
Sm: 0.0000 0.5000 0.5000  6 S 2.84-2.85
Sm: 0.5000 0.5000 0.0000  6 S 2.84-2.85
Sm: 0.5000 0.5000 0.5000  6 S 2.84-2.85
Pu: 0.0000 0.5000 0.0000  6 S 2.83



[3]
Cs3SmPu2S6: optimized geometry, GGA-PBE.

As for the symmetry: C2/m (12).

Cell: 7.2390 7.2390 8.4069 Å, 98.25 98.25 120.00°
Closest atoms and distances in Å follow each position.
Atoms (fractional coordinates):
S: 0.7231 0.7231 0.1813  2 Pu 2.81, 1 Sm 2.85
S: 0.0606 0.3978 0.1818  2 Pu 2.81, 1 Sm 2.85
S: 0.9394 0.6022 0.8182  2 Pu 2.81, 1 Sm 2.85
S: 0.3978 0.0606 0.1818  2 Pu 2.81, 1 Sm 2.85
S: 0.6022 0.9394 0.8182  2 Pu 2.81, 1 Sm 2.85
S: 0.2769 0.2769 0.8187  2 Pu 2.81, 1 Sm 2.85
Cs: 0.8344 0.1656 0.5000  6 S 3.51-3.53
Cs: 0.5000 0.5000 0.5000  6 S 3.50-3.53
Cs: 0.1656 0.8344 0.5000  6 S 3.51-3.53
Pu: 0.3333 0.6667 0.0000  6 S 2.81
Pu: 0.6667 0.3333 0.0000  6 S 2.81
Sm: 0.0000 0.0000 0.0000  6 S 2.85



[4]
Cs2Sm2PuS6: optimized geometry, GGA-PBE.

As for the symmetry: C2/m (12).

Cell: 7.1034 7.1034 8.6030 Å, 98.18 98.18 119.81°
Closest atoms and distances in Å follow each position.
Atoms (fractional coordinates):
Sm: 0.6663 0.3337 0.5000  6 S 2.82-2.83
Sm: 0.3337 0.6663 0.5000  6 S 2.82-2.83
S: 0.6177 0.9405 0.3222  1 Pu 2.72, 2 Sm 2.82-2.83
S: 0.9405 0.6177 0.3222  1 Pu 2.72, 2 Sm 2.82-2.83
S: 0.7419 0.7419 0.6774  1 Pu 2.70, 2 Sm 2.83
S: 0.2581 0.2581 0.3226  1 Pu 2.70, 2 Sm 2.83
S: 0.0595 0.3823 0.6778  1 Pu 2.72, 2 Sm 2.82-2.83
S: 0.3823 0.0595 0.6778  1 Pu 2.72, 2 Sm 2.82-2.83
Cs: 0.1696 0.8304 0.0000  6 S 3.54-3.58
Cs: 0.8304 0.1696 0.0000  6 S 3.54-3.58
Pu: 0.0000 0.0000 0.5000  6 S 2.70-2.72



[5]
Cs2SmPuS4: optimized geometry, GGA-PBE.

As for the symmetry: P2/m (10).

Cell: 4.1891 7.2685 8.4107 Å, 106.73 90.00 90.00°
Closest atoms and distances in Å follow each position.
Atoms (fractional coordinates):
Sm: 0.5000 0.5000 0.0000  6 S 2.84
S: 0.0000 0.7291 0.1844  1 Pu 2.84, 2 Sm 2.84
S: 0.5000 0.7764 0.8197  2 Pu 2.81, 1 Sm 2.84
S: 0.5000 0.2236 0.1803  2 Pu 2.81, 1 Sm 2.84
S: 0.0000 0.2709 0.8156  1 Pu 2.84, 2 Sm 2.84
Cs: 0.0000 0.5000 0.5000  6 S 3.52-3.54
Cs: 0.5000 0.0000 0.5000  6 S 3.51-3.52
Pu: 0.0000 0.0000 0.0000  6 S 2.81-2.84



[6]
Cs3Sm2PuS6: optimized geometry, GGA-PBE.

As for the symmetry: C2/m (12).

Cell: 7.2769 7.2769 8.4174 Å, 98.29 98.29 120.00°
Closest atoms and distances in Å follow each position.
Atoms (fractional coordinates):
Cs: 0.1679 0.8321 0.5000  6 S 3.52
Cs: 0.8321 0.1679 0.5000  6 S 3.52
Cs: 0.5000 0.5000 0.5000  6 S 3.52-3.53
S: 0.7298 0.7298 0.1836  1 Pu 2.83, 2 Sm 2.85
S: 0.6076 0.9390 0.8169  1 Pu 2.83, 2 Sm 2.85
S: 0.3924 0.0610 0.1831  1 Pu 2.83, 2 Sm 2.85
S: 0.0610 0.3924 0.1831  1 Pu 2.83, 2 Sm 2.85
S: 0.2702 0.2702 0.8164  1 Pu 2.83, 2 Sm 2.85
S: 0.9390 0.6076 0.8169  1 Pu 2.83, 2 Sm 2.85
Sm: 0.3334 0.6666 0.0000  6 S 2.85
Sm: 0.6666 0.3334 0.0000  6 S 2.85
Pu: 0.0000 0.0000 0.0000  6 S 2.83



[7]
Cs2PuSnS4: optimized geometry, GGA-PBE.

As for the symmetry: Imma (74).

Cell: 8.8413 8.8413 8.6011 Å, 119.11 119.11 89.71°
Closest atoms and distances in Å follow each position.
Atoms (fractional coordinates):
S: 0.2105 0.6779 0.4442  2 Pu 2.79, 1 Sn 2.96
S: 0.7845 0.7155 0.5334  1 Pu 2.70, 2 Sn 2.98
S: 0.8221 0.2895 0.0558  2 Pu 2.79, 1 Sn 2.96
S: 0.2155 0.2845 0.4666  1 Pu 2.70, 2 Sn 2.98
S: 0.7845 0.7155 0.9666  1 Pu 2.70, 2 Sn 2.98
S: 0.7895 0.3221 0.5558  2 Pu 2.79, 1 Sn 2.96
S: 0.2155 0.2845 0.0334  1 Pu 2.70, 2 Sn 2.98
S: 0.1780 0.7105 0.9442  2 Pu 2.79, 1 Sn 2.96
Cs: 0.5000 0.5000 0.0000  6 S 3.36
Cs: 0.5000 0.0000 0.5000  6 S 3.53-3.56
Cs: 0.0000 0.0000 0.5000  6 S 3.36
Cs: 0.5000 0.0000 0.0000  6 S 3.53-3.56
Sn: 0.5000 0.5000 0.5000  6 S 2.96-2.98
Sn: 0.0000 0.0000 0.0000  6 S 2.96-2.98
Pu: 0.0000 0.5000 0.5000  6 S 2.70-2.79
Pu: 0.0000 0.5000 0.0000  6 S 2.70-2.79



[8]
Cs2Pu2TaS6: optimized geometry, GGA-PBE.

As for the symmetry: C2/m (12).

Cell: 6.7650 6.7650 8.5574 Å, 97.92 97.92 119.51°
Closest atoms and distances in Å follow each position.
Atoms (fractional coordinates):
S: 0.7554 0.7554 0.6741  1 Ta 2.52, 2 Pu 2.76
S: 0.9385 0.6330 0.3247  1 Ta 2.52, 2 Pu 2.76-2.77
S: 0.3670 0.0615 0.6753  1 Ta 2.52, 2 Pu 2.76-2.77
S: 0.6330 0.9385 0.3247  1 Ta 2.52, 2 Pu 2.76-2.77
S: 0.2446 0.2446 0.3259  1 Ta 2.52, 2 Pu 2.76
S: 0.0615 0.3670 0.6753  1 Ta 2.52, 2 Pu 2.76-2.77
Cs: 0.1700 0.8300 0.0000  6 S 3.46-3.58
Cs: 0.8300 0.1700 0.0000  6 S 3.46-3.58
Ta: 0.0000 0.0000 0.5000  6 S 2.52
Pu: 0.6667 0.3333 0.5000  6 S 2.76-2.77
Pu: 0.3333 0.6667 0.5000  6 S 2.76-2.77



[9]
Cs3TbPu2S6: optimized geometry, GGA-PBE.

As for the symmetry: C2/m (12).

Cell: 7.1987 7.1987 8.3965 Å, 98.21 98.21 120.00°
Closest atoms and distances in Å follow each position.
Atoms (fractional coordinates):
S: 0.2728 0.2728 0.8195  1 Tb 2.80, 2 Pu 2.81
S: 0.0603 0.3932 0.1808  1 Tb 2.80, 2 Pu 2.81
S: 0.7272 0.7272 0.1805  1 Tb 2.80, 2 Pu 2.81
S: 0.3932 0.0603 0.1808  1 Tb 2.80, 2 Pu 2.81
S: 0.9397 0.6068 0.8192  1 Tb 2.80, 2 Pu 2.81
S: 0.6068 0.9397 0.8192  1 Tb 2.80, 2 Pu 2.81
Tb: 0.0000 0.0000 0.0000  6 S 2.80
Cs: 0.8339 0.1661 0.5000  6 S 3.51-3.52
Cs: 0.1661 0.8339 0.5000  6 S 3.51-3.52
Cs: 0.5000 0.5000 0.5000  6 S 3.51-3.52
Pu: 0.3333 0.6667 0.0000  6 S 2.81
Pu: 0.6667 0.3333 0.0000  6 S 2.81



[10]
Cs3Tb2PuS6: optimized geometry, GGA-PBE.

As for the symmetry: C2/m (12).

Cell: 7.1929 7.1929 8.3985 Å, 98.20 98.20 120.00°
Closest atoms and distances in Å follow each position.
Atoms (fractional coordinates):
Cs: 0.8327 0.1673 0.5000  6 S 3.50-3.52
Cs: 0.5000 0.5000 0.5000  6 S 3.50-3.52
Cs: 0.1673 0.8327 0.5000  6 S 3.50-3.52
S: 0.9395 0.6039 0.8186  2 Tb 2.80, 1 Pu 2.82
S: 0.2752 0.2752 0.8184  2 Tb 2.80, 1 Pu 2.82
S: 0.7248 0.7248 0.1816  2 Tb 2.80, 1 Pu 2.82
S: 0.3961 0.0605 0.1814  2 Tb 2.80, 1 Pu 2.82
S: 0.0605 0.3961 0.1814  2 Tb 2.80, 1 Pu 2.82
S: 0.6039 0.9395 0.8186  2 Tb 2.80, 1 Pu 2.82
Pu: 0.0000 0.0000 0.0000  6 S 2.82
Tb: 0.6666 0.3334 0.0000  6 S 2.80
Tb: 0.3334 0.6666 0.0000  6 S 2.80



| no. | uncorrected formation energy (kcal/mol of atoms) | N(E_F) (states/eV/f.u.) | VASP energy (eV/cell) |
| --- | --- | --- | --- |
| 1 | -34.04 | 9.757 | -28.70 |
| 2 | -40.10 | 12.198 | -92.75 |
| 3 | -37.48 | 20.317 | -80.21 |
| 4 | -39.73 | 8.326 | -69.19 |
| 5 | -38.47 | 11.258 | -50.61 |
| 6 | -39.45 | 12.445 | -71.63 |
| 7 | -24.93 | 9.180 | -90.40 |
| 8 | -32.24 | 18.175 | -82.37 |
| 9 | -37.57 | 20.385 | -80.17 |
| 10 | -39.65 | 12.380 | -71.55 |